The following is a PBE calculation of PuMg2Pb4 after structural relaxation, from Alexandria.

Geometry as POSCAR:
```
PuMg2Pb4
1.0
3.9298 -5.2186 0.0000
3.9298 5.2186 0.0000
0.0000 0.0000 4.9197
Pu Mg Pb
1 2 4
direct
0.0000 0.0000 0.0000
0.2304 0.7696 0.5000
0.7696 0.2304 0.5000
0.0000 0.5000 0.0000
0.2906 0.2906 0.5000
0.5000 0.0000 0.0000
0.7094 0.7094 0.5000
```

Summary:
Crystal system: orthorhombic
Symmetry: No. 65
Energy of formation from the pure elements: -4 kJ per mole of atoms
Size of the total moment: 5.7 Bohr magnetons per cell

=====

The following is a PBE calculation of Ti5MnGa2 after structural relaxation, from Alexandria.

Geometry as POSCAR:
```
Ti5MnGa2
1.0
-2.2712 2.2712 5.9655
2.2712 -2.2712 5.9655
2.2712 2.2712 -5.9655
Ti Mn Ga
5 1 2
direct
0.0000 0.0000 0.0000
0.1182 0.6182 0.5000
0.3818 0.8818 0.5000
0.6182 0.1182 0.5000
0.8818 0.3818 0.5000
0.5000 0.5000 0.0000
0.2507 0.2507 0.0000
0.7493 0.7493 0.0000
```

Summary:
Crystal system: tetragonal
Symmetry: No. 139
Energy of formation from the pure elements: -28 kJ per mole of atoms
Size of the total moment: 0.0 Bohr magnetons per cell

=====

The following is a PBE calculation of Ca2ScTa after structural relaxation, from Alexandria.

Geometry as POSCAR:
```
Ca2ScTa
1.0
-1.6737 2.7391 5.8612
1.6737 -2.7391 5.8612
1.6737 2.7391 -5.8612
Ca Sc Ta
2 1 1
direct
0.2322 0.2322 0.0000
0.7678 0.7678 0.0000
0.5000 0.0000 0.5000
0.0000 0.5000 0.5000
```

Summary:
Crystal system: orthorhombic
Symmetry: No. 71
Energy of formation from the pure elements: 63 kJ per mole of atoms
Size of the total moment: 0.0 Bohr magnetons per cell
Energy relative to the lowest polymorph listed for this composition: 296 meV per atom

=====

The following is a PBE calculation of BaLiS2O after structural relaxation, from Alexandria.

Geometry as POSCAR:
```
BaLiS2O
1.0
4.9820 0.0000 0.0000
0.0000 4.9820 0.0000
0.0000 0.0000 3.9464
Ba Li S O
1 1 2 1
direct
0.0000 0.0000 0.0000
0.5000 0.5000 0.0000
0.0000 0.5000 0.5000
0.5000 0.0000 0.5000
0.5000 0.5000 0.5000
```

Summary:
Crystal system: tetragonal
Symmetry: No. 123
Size of the total moment: 0.0 Bohr magnetons per cell
Formation energy from raw total energies: -0.9403 eV/atom